No. 1
A plane-wave DFT calculation with GGA-PBE was carried out for a relaxed Pm4TmPu3Se8 crystal.

Properties
- Crystal system: trigonal
- Formation energy (no corrections): -1.719 eV/atom

a = 8.279 Å, b = 8.330 Å, c = 8.277 Å
α = 119.77°, β = 120.01°, γ = 90.00°
Last column: magnetic moment on the atom in μB.
Fractional positions:
Se 0.252 0.256 0.504  -0.05
Tm 0.000 0.500 0.000  0.07
Pm 0.500 0.000 0.500  0.01
Pu 0.000 0.500 0.500  5.44
Se 0.245 0.741 0.489  -0.03
Pm 0.000 0.000 0.000  0.01
Pu 0.500 0.500 0.500  5.44
Se 0.752 0.741 0.997  -0.03
Pm 0.000 0.000 0.500  0.01
Se 0.245 0.741 0.997  -0.03
Se 0.755 0.259 0.003  -0.03
Pm 0.500 0.000 0.000  0.05
Se 0.748 0.744 0.496  -0.05
Se 0.755 0.259 0.511  -0.03
Pu 0.500 0.500 0.000  5.44
Se 0.248 0.259 0.003  -0.03



No. 2
A plane-wave DFT calculation with GGA-PBE was carried out for a relaxed PmPuAg2 crystal.

Properties
- Crystal system: tetragonal
- Energy: -25.1 eV per cell

a = 3.392 Å, b = 5.455 Å, c = 5.455 Å
α = 90.00°, β = 90.00°, γ = 90.00°
Last column: magnetic moment on the atom in μB.
Fractional positions:
Ag 0.000 0.000 0.500  0.02
Ag 0.000 0.500 0.000  0.02
Pu 0.500 0.500 0.500  5.58
Pm 0.500 0.000 0.000  -0.05



No. 3
A plane-wave DFT calculation with GGA-PBE was carried out for a relaxed CaCdBiPb crystal.

Properties
- Crystal system: orthorhombic
- Energy: -12.0 eV per cell

a = 4.707 Å, b = 4.663 Å, c = 5.284 Å
α = 90.00°, β = 90.00°, γ = 90.00°
Fractional positions:
Pb 0.500 0.500 0.000
Ca 0.500 0.000 0.500
Bi 0.000 0.500 0.500
Cd 0.000 0.000 0.000



No. 4
A plane-wave DFT calculation with GGA-PBE was carried out for a relaxed GeRhW3 crystal.

Properties
- Crystal system: cubic
- Energy: -40.7 eV per cell

a = 4.719 Å, b = 4.719 Å, c = 4.719 Å
α = 90.00°, β = 90.00°, γ = 90.00°
Fractional positions:
Rh 0.000 0.000 0.000
Ge 0.500 0.500 0.500
W 0.500 0.000 0.000
W 0.000 0.500 0.000
W 0.000 0.000 0.500



No. 5
A plane-wave DFT calculation with GGA-PBE was carried out for a relaxed Tm5NiRh2 crystal.

Properties
- Crystal system: orthorhombic
- Energy: -95.6 eV per cell

a = 4.013 Å, b = 7.599 Å, c = 11.945 Å
α = 90.00°, β = 90.00°, γ = 90.00°
Fractional positions:
Tm 0.000 0.333 0.298
Rh 0.500 0.030 0.324
Tm 0.500 0.671 0.406
Ni 0.000 0.000 0.000
Tm 0.000 0.833 0.202
Rh 0.500 0.530 0.176
Ni 0.000 0.500 0.500
Tm 0.500 0.329 0.594
Tm 0.500 0.829 0.906
Rh 0.500 0.470 0.824
Tm 0.500 0.171 0.094
Tm 0.000 0.667 0.702
Tm 0.000 0.167 0.798
Rh 0.500 0.970 0.676
Tm 0.000 0.000 0.500
Tm 0.000 0.500 0.000



No. 6
A plane-wave DFT calculation with GGA-PBE was carried out for a relaxed MgBOs2 crystal.

Properties
- Crystal system: tetragonal
- Energy: -54.7 eV per cell

a = 4.436 Å, b = 4.436 Å, c = 7.896 Å
α = 73.69°, β = 73.69°, γ = 90.00°
Fractional positions:
Os 0.474 0.125 0.250
Mg 0.000 0.000 0.000
Os 0.875 0.724 0.750
B 0.500 0.500 0.000
Os 0.276 0.625 0.250
Mg 0.750 0.250 0.500
Os 0.375 0.526 0.750
B 0.250 0.750 0.500